Below is a relaxed structure of Zr2MnRh, with properties calculated at the PBE-GGA level.

Properties
- symmetry = No. 166
- spin magnetization (μB/f.u.) = 0.4
- DOS(E_F) (states/eV/f.u.) = 2.232
- formation energy (eV per atom) = -0.096

The structure in POSCAR format:
```
Zr2MnRh
1.0
1.584 0.915 8.106
-1.584 0.915 8.106
0.000 -1.829 8.106
Zr Mn Rh
2 1 1
Cartesian
0.000 0.000 5.966 Zr
0.000 0.000 18.354 Zr
0.000 0.000 12.160 Mn
0.000 0.000 0.000 Rh
```